! Pm2Sc3Se6 PBE optimized geometry; values from VASP
! Fermi-level density of states   5.5 states/eV/f.u.
! Space group   C2/m, No. 12
! VASP energy   -68.89 eV/cell
! Magnetization   0.00 μB/cell
&SYSTEM
  ibrav = 0, nat = 11, ntyp = 3
/
ATOMIC_SPECIES
Se 78.96 Se.upf
Pm 145.00 Pm.upf
Sc 44.96 Sc.upf
CELL_PARAMETERS angstrom
6.599 0.000 1.963
3.300 5.934 0.982
0.308 0.000 7.000
ATOMIC_POSITIONS crystal
Se 0.915 0.674 0.230
Se 0.590 0.326 0.230
Se 0.265 0.000 0.233
Se 0.410 0.674 0.770
Se 0.085 0.326 0.770
Se 0.735 0.000 0.767
Pm 0.835 0.331 0.500
Pm 0.165 0.669 0.500
Sc 0.333 0.334 0.000
Sc 0.667 0.666 0.000
Sc 0.000 0.000 0.000



! Pm3ScSe6 PBE optimized geometry; values from VASP
! Fermi-level density of states   0.0 states/eV/f.u.
! Space group   R-3, No. 148
! VASP energy   -119.41 eV/cell
! Magnetization   0.00 μB/cell
&SYSTEM
  ibrav = 0, nat = 20, ntyp = 3
/
ATOMIC_SPECIES
Pm 145.00 Pm.upf
Se 78.96 Se.upf
Sc 44.96 Sc.upf
CELL_PARAMETERS angstrom
-1.934 -8.150 0.952
5.429 -1.824 -6.186
6.108 -0.587 5.781
ATOMIC_POSITIONS crystal
Pm 0.920 0.427 0.752
Pm 0.752 0.920 0.427
Pm 0.248 0.080 0.573
Pm 0.080 0.573 0.248
Pm 0.427 0.752 0.920
Pm 0.573 0.248 0.080
Se 0.583 0.456 0.807
Se 0.544 0.193 0.417
Se 0.417 0.544 0.193
Se 0.193 0.417 0.544
Se 0.696 0.918 0.079
Se 0.082 0.921 0.304
Se 0.456 0.807 0.583
Se 0.918 0.079 0.696
Se 0.079 0.696 0.918
Se 0.304 0.082 0.921
Se 0.807 0.583 0.456
Se 0.921 0.304 0.082
Sc 0.500 0.500 0.500
Sc 0.000 0.000 0.000



! Pm3Sc4Se8 PBE optimized geometry; values from VASP
! Fermi-level density of states   7.7 states/eV/f.u.
! Space group   C2/m, No. 12
! VASP energy   -93.21 eV/cell
! Magnetization   0.00 μB/cell
&SYSTEM
  ibrav = 0, nat = 15, ntyp = 3
/
ATOMIC_SPECIES
Se 78.96 Se.upf
Pm 145.00 Pm.upf
Sc 44.96 Sc.upf
CELL_PARAMETERS angstrom
7.999 -0.110 -0.158
-3.901 7.050 0.150
-3.901 -2.306 6.664
ATOMIC_POSITIONS crystal
Se 0.016 0.762 0.762
Se 0.490 0.237 0.237
Se 0.000 0.245 0.755
Se 0.510 0.763 0.763
Se 0.500 0.758 0.242
Se 0.984 0.238 0.238
Se 0.500 0.242 0.758
Se 0.000 0.755 0.245
Pm 0.500 0.500 0.000
Pm 0.500 0.500 0.500
Pm 0.500 0.000 0.500
Sc 0.000 0.000 0.500
Sc 0.500 0.000 0.000
Sc 0.000 0.000 0.000
Sc 0.000 0.500 0.000